Material: NaHoTe2O8
Method: DFT, GGA-PBE
State: optimized geometry

Output
E_form (uncorrected) ... -19.23 eV/f.u.

CIF file:
```
data_NaHoTe2O8
_chemical_formula_sum 'Na2 Ho2 Te4 O16'
_symmetry_space_group_name_H-M 'I -4'
_symmetry_Int_Tables_number 82
_cell_length_a 5.262
_cell_length_b 5.262
_cell_length_c 11.398
_cell_angle_alpha 90.00
_cell_angle_beta 90.00
_cell_angle_gamma 90.00
loop_
_symmetry_equiv_pos_as_xyz
'x,y,z'
'y,-x,-z'
'-x,-y,z'
'-y,x,-z'
'x+1/2,y+1/2,z+1/2'
'y+1/2,-x+1/2,-z+1/2'
'-x+1/2,-y+1/2,z+1/2'
'-y+1/2,x+1/2,-z+1/2'
loop_
_atom_site_label
_atom_site_type_symbol
_atom_site_fract_x
_atom_site_fract_y
_atom_site_fract_z
Na1 Na 0.000 0.000 0.000
Ho1 Ho 0.000 0.500 0.750
Te1 Te 0.000 0.000 0.500
Te2 Te 0.000 0.500 0.250
O1 O 0.163 0.248 0.589
O2 O 0.179 0.745 0.168
```

---

Material: NaHo2TeO6
Method: DFT, GGA-PBE
State: optimized geometry

Output
E_form (uncorrected) ... -23.79 eV/f.u.

CIF file:
```
data_NaHo2TeO6
_chemical_formula_sum 'Na3 Ho6 Te3 O18'
_symmetry_space_group_name_H-M 'R 3'
_symmetry_Int_Tables_number 146
_symmetry_space_group_name_Hall 'R 3'
_cell_length_a 5.7572
_cell_length_b 5.7572
_cell_length_c 15.1702
_cell_angle_alpha 90.00
_cell_angle_beta 90.00
_cell_angle_gamma 120.00
loop_
_atom_site_label
_atom_site_type_symbol
_atom_site_fract_x
_atom_site_fract_y
_atom_site_fract_z
Na1 Na 0.0000 0.0000 0.0000
Ho1 Ho 0.0000 0.0000 0.2691
Ho2 Ho 0.0000 0.0000 0.7797
Te1 Te 0.0000 0.0000 0.4752
O1 O 0.0220 0.3412 0.5404
O2 O 0.0220 0.7424 0.3872
```

---

Material: Na3Ho3TeO8
Method: DFT, GGA-PBE
State: optimized geometry

Output
E_form (uncorrected) ... -36.59 eV/f.u.

CIF file:
```
data_Na3Ho3TeO8
_chemical_formula_sum 'Na9 Ho9 Te3 O24'
_symmetry_space_group_name_H-M 'R -3 m'
_symmetry_Int_Tables_number 166
_symmetry_space_group_name_Hall '-R 3 2"'
_cell_length_a 6.8152
_cell_length_b 6.8152
_cell_length_c 16.8081
_cell_angle_alpha 90.00
_cell_angle_beta 90.00
_cell_angle_gamma 120.00
loop_
_atom_site_label
_atom_site_type_symbol
_atom_site_fract_x
_atom_site_fract_y
_atom_site_fract_z
Na1 Na 0.0000 0.5000 0.0000
Ho1 Ho 0.0000 0.5000 0.5000
Te1 Te 0.0000 0.0000 0.5000
O1 O 0.0000 0.0000 0.2353
O2 O 0.0118 0.5059 0.2341
```

---

Record-wise total magnetic moment values, in μB per atom: 0.000, 0.094, 0.000